A plane-wave DFT calculation with PBE with a Hubbard U was carried out for crystalline Ba3MnBi2O8 at its relaxed geometry.

Unit cell a=6.0647 b=6.0647 c=8.0181 alpha=90.00 beta=90.00 gamma=120.00
Space group P-3m1 (No. 164)
Asymmetric unit:
Ba 0.0000 0.0000 0.0000 [1 per cell]
Ba 0.3333 0.6667 0.6275 [2 per cell]
Mn 0.0000 0.0000 0.5000 [1 per cell]
Bi 0.3333 0.6667 0.2035 [2 per cell]
O 0.1553 0.3105 0.3413 [6 per cell]
O 0.3333 0.6667 0.9351 [2 per cell]

Properties
Total DFT energy (no corrections) (eV/atom): -6.0707
Total moment (μB/atom): 0.212